[1]
DFT (PBEsol) results for crystalline MnHgAs3 at its relaxed geometry.

Summary:
E_form: 1.35 eV/atom

Lattice parameters (Å, degrees): 5.081 5.081 5.081 90.00 90.00 90.00
Site moments in Bohr magnetons follow the coordinates.
Atoms (fractional coordinates):
As1 0.000 0.500 0.000  -0.12
As2 0.000 0.000 0.500  -0.12
As3 0.500 0.000 0.000  -0.12
Hg1 0.000 0.000 0.000  -0.01
Mn1 0.500 0.500 0.500  4.41

[2]
DFT (PBEsol) results for crystalline MnHgTeN2 at its relaxed geometry.

Summary:
Electronic total energy: -5.504 eV/atom

Lattice parameters (Å, degrees): 3.769 3.769 5.445 90.00 90.00 90.00
Site moments in Bohr magnetons follow the coordinates.
Atoms (fractional coordinates):
Mn1 0.000 0.000 0.000  -0.15
Hg1 0.500 0.500 0.500  0.00
N1 0.500 0.000 0.000  0.10
N2 0.000 0.500 0.000  0.10
Te1 0.000 0.000 0.500  0.01

[3]
DFT (PBEsol) results for crystalline SrPRu2 at its relaxed geometry.

Summary:
E_form: -0.11 eV/atom

Lattice parameters (Å, degrees): 3.794 3.795 5.480 90.00 89.99 90.00
Atoms (fractional coordinates):
P1 0.125 0.500 0.829
Ru1 0.125 0.000 0.061
Ru2 0.625 0.500 0.061
Sr1 0.625 0.000 0.548

[4]
DFT (PBEsol) results for crystalline OsRu2Br at its relaxed geometry.

Summary:
Electronic total energy: -7.504 eV/atom

Lattice parameters (Å, degrees): 4.047 4.566 4.047 63.69 90.00 116.31
Atoms (fractional coordinates):
Os1 0.000 0.000 0.000
Ru1 0.750 0.500 0.750
Ru2 0.250 0.500 0.250
Br1 0.500 0.000 0.500

[5]
DFT (PBEsol) results for crystalline Al2Hg at its relaxed geometry.

Summary:
E_form: 0.18 eV/atom

Lattice parameters (Å, degrees): 3.891 3.891 4.105 90.00 90.00 90.00
Atoms (fractional coordinates):
Al1 0.000 0.500 0.500
Al2 0.500 0.000 0.500
Hg1 0.000 0.000 0.000

[6]
DFT (PBEsol) results for crystalline TaTlMo2 at its relaxed geometry.

Summary:
E_form: 0.38 eV/atom

Lattice parameters (Å, degrees): 2.865 4.353 5.693 90.00 99.83 90.00
Atoms (fractional coordinates):
Tl1 0.515 0.500 0.753
Ta1 0.941 0.000 0.472
Mo1 0.067 0.000 0.031
Mo2 0.478 0.500 0.244

[7]
DFT (PBEsol) results for crystalline CdTe2MoOs at its relaxed geometry.

Summary:
Electronic total energy: -5.270 eV/atom

Lattice parameters (Å, degrees): 4.794 5.218 5.218 90.00 90.00 90.00
Site moments in Bohr magnetons follow the coordinates.
Atoms (fractional coordinates):
Te1 0.000 0.000 0.500  -0.01
Te2 0.000 0.500 0.000  -0.01
Os1 0.000 0.000 0.000  -0.14
Cd1 0.500 0.500 0.500  -0.02
Mo1 0.500 0.000 0.000  2.17

[8]
DFT (PBEsol) results for crystalline SrZnMo2 at its relaxed geometry.

Summary:
E_form: 0.75 eV/atom

Lattice parameters (Å, degrees): 2.731 5.090 5.687 106.06 103.89 90.00
Atoms (fractional coordinates):
Mo1 0.221 0.215 0.441
Mo2 0.779 0.785 0.559
Zn1 0.500 0.000 0.000
Sr1 0.000 0.500 0.000

[9]
DFT (PBEsol) results for crystalline Sc2TaRe at its relaxed geometry.

Summary:
E_form: 0.15 eV/atom

Lattice parameters (Å, degrees): 2.850 2.850 9.418 90.00 90.00 110.66
Atoms (fractional coordinates):
Sc1 0.000 0.000 0.229
Sc2 0.000 0.000 0.771
Re1 0.500 0.500 0.000
Ta1 0.500 0.500 0.500

[10]
DFT (PBEsol) results for crystalline SrLi4 at its relaxed geometry.

Summary:
E_form: 0.06 eV/atom

Lattice parameters (Å, degrees): 8.931 8.931 8.931 109.47 109.47 109.47
Atoms (fractional coordinates):
Li1 0.250 0.750 0.500
Li2 0.500 0.750 0.250
Li3 0.803 0.803 0.803
Li4 0.197 0.000 0.000
Li5 0.000 0.355 0.355
Li6 0.250 0.500 0.750
Li7 0.645 0.645 0.000
Li8 0.750 0.500 0.250
Li9 0.000 0.000 0.197
Li10 0.000 0.197 0.000
Li11 0.750 0.250 0.500
Li12 0.645 0.000 0.645
Li13 0.355 0.355 0.000
Li14 0.500 0.250 0.750
Li15 0.355 0.000 0.355
Li16 0.000 0.645 0.645
Sr1 0.000 0.559 0.000
Sr2 0.441 0.441 0.441
Sr3 0.559 0.000 0.000
Sr4 0.000 0.000 0.559

[11]
DFT (PBEsol) results for crystalline AlReI2 at its relaxed geometry.

Summary:
Electronic total energy: -4.083 eV/atom

Lattice parameters (Å, degrees): 4.859 4.859 4.859 60.00 60.00 60.00
Atoms (fractional coordinates):
I1 0.250 0.250 0.250
I2 0.750 0.750 0.750
Re1 0.500 0.500 0.500
Al1 0.000 0.000 0.000

[12]
DFT (PBEsol) results for crystalline TiSb2Ir at its relaxed geometry.

Summary:
Electronic total energy: -6.857 eV/atom

Lattice parameters (Å, degrees): 4.683 4.683 4.683 60.00 60.00 60.00
Atoms (fractional coordinates):
Ti1 0.000 0.000 0.000
Sb1 0.250 0.250 0.250
Sb2 0.750 0.750 0.750
Ir1 0.500 0.500 0.500

[13]
DFT (PBEsol) results for crystalline BaBSbS2 at its relaxed geometry.

Summary:
Electronic total energy: -3.618 eV/atom

Lattice parameters (Å, degrees): 5.002 5.002 6.514 90.00 90.00 90.00
Site moments in Bohr magnetons follow the coordinates.
Atoms (fractional coordinates):
Ba1 0.000 0.000 0.500  0.10
B1 0.500 0.500 0.500  0.47
S1 0.500 0.000 0.000  -0.03
S2 0.000 0.500 0.000  -0.03
Sb1 0.000 0.000 0.000  -0.01

[14]
DFT (PBEsol) results for crystalline BeAlPt2 at its relaxed geometry.

Summary:
E_form: -0.83 eV/atom

Lattice parameters (Å, degrees): 2.780 3.341 5.539 90.00 90.00 90.00
Atoms (fractional coordinates):
Be1 0.500 0.500 0.500
Pt1 0.000 0.000 0.741
Pt2 0.000 0.000 0.259
Al1 0.500 0.500 0.000

[15]
DFT (PBEsol) results for crystalline BPI2O at its relaxed geometry.

Summary:
Electronic total energy: -4.048 eV/atom

Lattice parameters (Å, degrees): 2.828 5.814 5.814 90.00 90.00 90.00
Atoms (fractional coordinates):
B1 0.000 0.000 0.000
I1 0.000 0.000 0.500
I2 0.000 0.500 0.000
O1 0.500 0.000 0.000
P1 0.500 0.500 0.500

[16]
DFT (PBEsol) results for crystalline LiY2Cr at its relaxed geometry.

Summary:
E_form: 0.29 eV/atom

Lattice parameters (Å, degrees): 3.559 5.035 5.035 90.00 90.00 90.00
Site moments in Bohr magnetons follow the coordinates.
Atoms (fractional coordinates):
Y1 0.000 0.000 0.500  -0.01
Y2 0.000 0.500 0.000  -0.01
Li1 0.500 0.000 0.000  -0.01
Cr1 0.500 0.500 0.500  3.26

[17]
DFT (PBEsol) results for crystalline NaTeSeS2 at its relaxed geometry.

Summary:
Electronic total energy: -3.389 eV/atom

Lattice parameters (Å, degrees): 4.879 4.879 5.357 90.00 90.00 90.00
Atoms (fractional coordinates):
Se1 0.000 0.000 0.000
Te1 0.000 0.000 0.500
S1 0.000 0.500 0.000
S2 0.500 0.000 0.000
Na1 0.500 0.500 0.500

[18]
DFT (PBEsol) results for crystalline Pr6CdGe2S14 at its relaxed geometry.

Summary:
Electronic total energy: -6.060 eV/atom

Lattice parameters (Å, degrees): 5.734 10.183 10.183 120.00 90.00 90.00
Atoms (fractional coordinates):
Pr1 0.244 0.358 0.126
Pr2 0.244 0.874 0.231
Pr3 0.750 0.642 0.873
Pr4 0.244 0.769 0.642
Pr5 0.750 0.231 0.358
Pr6 0.750 0.127 0.769
Ge1 0.332 0.333 0.667
Ge2 0.824 0.667 0.333
S1 0.728 0.908 0.166
S2 0.486 0.481 0.585
S3 0.486 0.104 0.519
S4 0.981 0.519 0.414
S5 0.444 0.667 0.333
S6 0.240 0.743 0.910
S7 0.728 0.834 0.742
S8 0.240 0.090 0.833
S9 0.981 0.895 0.481
S10 0.240 0.167 0.257
S11 0.486 0.415 0.896
S12 0.951 0.333 0.667
S13 0.728 0.258 0.092
S14 0.981 0.586 0.105
Cd1 0.489 0.000 0.000

[19]
DFT (PBEsol) results for crystalline Rb2LiBiBr6 at its relaxed geometry.

Summary:
Electronic total energy: -3.252 eV/atom

Lattice parameters (Å, degrees): 7.763 7.763 7.763 60.00 60.00 60.00
Atoms (fractional coordinates):
Br1 0.743 0.743 0.257
Br2 0.743 0.257 0.743
Br3 0.257 0.743 0.257
Br4 0.743 0.257 0.257
Br5 0.257 0.257 0.743
Br6 0.257 0.743 0.743
Li1 0.500 0.500 0.500
Rb1 0.750 0.750 0.750
Rb2 0.250 0.250 0.250
Bi1 0.000 0.000 0.000

[20]
DFT (PBEsol) results for crystalline In2AgSe3Br at its relaxed geometry.

Summary:
Electronic total energy: -3.724 eV/atom

Lattice parameters (Å, degrees): 7.945 7.945 7.945 61.30 61.30 61.30
Atoms (fractional coordinates):
Ag1 0.417 0.417 0.417
Ag2 0.583 0.583 0.583
In1 0.000 0.500 0.000
In2 0.000 0.000 0.500
In3 0.000 0.000 0.000
In4 0.500 0.000 0.000
Se1 0.758 0.216 0.758
Se2 0.216 0.758 0.758
Se3 0.242 0.784 0.242
Se4 0.784 0.242 0.242
Se5 0.758 0.758 0.216
Se6 0.242 0.242 0.784
Br1 0.258 0.258 0.258
Br2 0.742 0.742 0.742

[21]
DFT (PBEsol) results for crystalline SrLaAl3O7 at its relaxed geometry.

Summary:
Electronic total energy: -7.862 eV/atom

Lattice parameters (Å, degrees): 5.209 7.881 7.881 90.30 90.00 90.00
Atoms (fractional coordinates):
Al1 0.000 0.500 0.000
Al2 0.037 0.644 0.356
Al3 0.000 0.000 0.500
Al4 0.037 0.356 0.644
Al5 0.962 0.857 0.857
Al6 0.962 0.143 0.143
O1 0.810 0.917 0.666
O2 0.810 0.334 0.083
O3 0.810 0.083 0.334
O4 0.704 0.650 0.350
O5 0.194 0.591 0.162
O6 0.165 0.500 0.500
O7 0.297 0.133 0.133
O8 0.704 0.350 0.650
O9 0.194 0.838 0.409
O10 0.194 0.162 0.591
O11 0.815 0.000 0.000
O12 0.810 0.666 0.917
O13 0.297 0.867 0.867
O14 0.194 0.409 0.838
Sr1 0.510 0.339 0.339
Sr2 0.510 0.661 0.661
La1 0.491 0.837 0.163
La2 0.491 0.163 0.837

[22]
DFT (PBEsol) results for crystalline Sr2NiN2 at its relaxed geometry.

Summary:
Electronic total energy: -5.989 eV/atom

Lattice parameters (Å, degrees): 3.782 3.782 6.719 106.35 106.35 90.00
Site moments in Bohr magnetons follow the coordinates.
Atoms (fractional coordinates):
Ni1 0.000 0.000 0.000  0.27
N1 0.141 0.141 0.282  0.27
N2 0.859 0.859 0.718  0.94
Sr1 0.352 0.352 0.705  0.03
Sr2 0.648 0.648 0.295  0.03

[23]
DFT (PBEsol) results for crystalline Au2NF at its relaxed geometry.

Summary:
Electronic total energy: -4.118 eV/atom

Lattice parameters (Å, degrees): 4.724 4.724 6.866 110.12 110.12 90.00
Atoms (fractional coordinates):
N1 0.750 0.250 0.500
N2 0.500 0.500 0.000
Au1 0.755 0.375 0.250
Au2 0.625 0.505 0.750
Au3 0.125 0.245 0.750
Au4 0.495 0.875 0.250
F1 0.000 0.000 0.000
F2 0.250 0.750 0.500

[24]
DFT (PBEsol) results for crystalline TlAsPtSe2 at its relaxed geometry.

Summary:
Electronic total energy: -4.239 eV/atom

Lattice parameters (Å, degrees): 4.584 5.237 5.237 90.00 90.00 90.00
Atoms (fractional coordinates):
Se1 0.000 0.000 0.500
Se2 0.000 0.500 0.000
As1 0.500 0.000 0.000
Tl1 0.500 0.500 0.500
Pt1 0.000 0.000 0.000

[25]
DFT (PBEsol) results for crystalline TlCu2Ag at its relaxed geometry.

Summary:
E_form: 0.26 eV/atom

Lattice parameters (Å, degrees): 4.466 4.466 4.466 60.00 60.00 60.00
Atoms (fractional coordinates):
Tl1 0.250 0.250 0.250
Ag1 0.500 0.500 0.500
Cu1 0.750 0.750 0.750
Cu2 0.000 0.000 0.000

[26]
DFT (PBEsol) results for crystalline YH2Au2 at its relaxed geometry.

Summary:
Electronic total energy: -4.468 eV/atom

Lattice parameters (Å, degrees): 3.919 3.919 5.175 112.25 112.25 90.00
Atoms (fractional coordinates):
H1 0.250 0.750 0.500
H2 0.750 0.250 0.500
Y1 0.000 0.000 0.000
Au1 0.658 0.658 0.316
Au2 0.342 0.342 0.684